1.
InGeAsBr2: optimized geometry, GGA-PBE.

The structure in POSCAR format:
```
InGeAsBr2
1.0
5.3473 0.0000 0.0000
0.0000 5.3473 0.0000
0.0000 0.0000 5.4780
In Ge As Br
1 1 1 2
Cartesian
0.0000 0.0000 0.0000
2.6736 2.6736 2.7390
0.0000 0.0000 2.7390
0.0000 2.6736 0.0000
2.6736 0.0000 0.0000
```

Results
ρ	4.5	g/cm³
DOS(E_F)	2.4	states/eV/f.u.
SG	P4/mmm
formation energy without anion corrections	0.347	eV per atom

2.
GeAs2IrBr: optimized geometry, GGA-PBE.

The structure in POSCAR format:
```
GeAs2IrBr
1.0
4.7429 0.0000 0.0000
0.0000 4.7429 0.0000
0.0000 0.0000 5.4782
Ge As Ir Br
1 2 1 1
Cartesian
0.0000 0.0000 0.0000
0.0000 2.3714 2.7391
2.3714 0.0000 2.7391
2.3714 2.3714 2.7391
2.3714 2.3714 0.0000
```

Results
ρ	6.7	g/cm³
DOS(E_F)	4.4	states/eV/f.u.
SG	P4/mmm
formation energy without anion corrections	0.596	eV per atom
offset from the most stable computed form	0	meV per atom

3.
GeAsIrBr2: optimized geometry, GGA-PBE.

The structure in POSCAR format:
```
GeAsIrBr2
1.0
4.9901 0.0000 0.0000
0.0000 4.9901 0.0000
0.0000 0.0000 5.2930
Ge As Ir Br
1 1 1 2
Cartesian
0.0000 0.0000 0.0000
0.0000 0.0000 2.6465
2.4950 2.4950 2.6465
0.0000 2.4950 0.0000
2.4950 0.0000 0.0000
```

Results
ρ	6.3	g/cm³
DOS(E_F)	9.1	states/eV/f.u.
SG	P4/mmm
formation energy without anion corrections	1.239	eV per atom
offset from the most stable computed form	713	meV per atom

4.
GeAs2IrBr: optimized geometry, GGA-PBE.

The structure in POSCAR format:
```
GeAs2IrBr
1.0
4.8875 0.0000 0.0000
0.0000 4.8875 0.0000
0.0000 0.0000 4.8832
Ge As Ir Br
1 2 1 1
Cartesian
0.0000 0.0000 0.0000
0.0000 2.4437 0.0000
2.4437 0.0000 0.0000
2.4437 2.4437 2.4416
0.0000 0.0000 2.4416
```

Results
ρ	7.0	g/cm³
DOS(E_F)	3.9	states/eV/f.u.
SG	P4/mmm
formation energy without anion corrections	1.350	eV per atom
offset from the most stable computed form	754	meV per atom

5.
GeAsIrBr2: optimized geometry, GGA-PBE.

The structure in POSCAR format:
```
GeAsIrBr2
1.0
5.2691 0.0000 0.0000
0.0000 5.2691 0.0000
0.0000 0.0000 4.6572
Ge As Ir Br
1 1 1 2
Cartesian
0.0000 0.0000 0.0000
2.6345 2.6345 0.0000
2.6345 2.6345 2.3286
0.0000 2.6345 2.3286
2.6345 0.0000 2.3286
```

Results
ρ	6.4	g/cm³
DOS(E_F)	4.2	states/eV/f.u.
SG	P4/mmm
formation energy without anion corrections	0.526	eV per atom
offset from the most stable computed form	0	meV per atom

6.
KGeAsBr2: optimized geometry, GGA-PBE.

The structure in POSCAR format:
```
KGeAsBr2
1.0
5.8676 0.0000 0.0000
0.0000 5.8676 0.0000
0.0000 0.0000 6.0869
K Ge As Br
1 1 1 2
Cartesian
0.0000 0.0000 0.0000
2.9338 2.9338 3.0434
0.0000 0.0000 3.0434
0.0000 2.9338 0.0000
2.9338 0.0000 0.0000
```

Results
ρ	2.7	g/cm³
DOS(E_F)	3.8	states/eV/f.u.
SG	P4/mmm
formation energy without anion corrections	0.524	eV per atom
offset from the most stable computed form	940	meV per atom